A plane-wave DFT calculation with PBE was carried out for a relaxed structure of Ba2CdSn.

```
Ba2CdSn
1.0
6.0521 0.0000 0.0000
0.0000 6.0521 0.0000
0.0000 0.0000 4.2309
Ba Cd Sn
2 1 1
direct
0.0000 0.5000 0.0000
0.5000 0.0000 0.0000
0.0000 0.0000 0.5000
0.5000 0.5000 0.5000
```

**Total magnetization**: 0.00 μB per formula unit
**Energy relative to the elements**: -0.47 eV/atom
**V**: 154.97 Å³/cell

---

A plane-wave DFT calculation with PBE was carried out for a relaxed structure of Ti2GePtSe.

```
Ti2GePtSe
1.0
4.8590 0.0000 0.0000
0.0000 4.8590 0.0000
0.0000 0.0000 4.9311
Ti Ge Pt Se
2 1 1 1
direct
0.0000 0.5000 0.0000
0.5000 0.0000 0.0000
0.0000 0.0000 0.5000
0.5000 0.5000 0.0000
0.5000 0.5000 0.5000
```

**Total magnetization**: 0.00 μB per formula unit
**Formation energy from raw total energies**: 0.499 eV per atom
**V**: 116.42 Å³/cell

---

A plane-wave DFT calculation with PBE was carried out for a relaxed structure of TiAsN2F.

```
TiAsN2F
1.0
4.0355 0.0000 0.0000
0.0000 4.0355 0.0000
0.0000 0.0000 3.7739
Ti As N F
1 1 2 1
direct
0.0000 0.0000 0.0000
0.5000 0.5000 0.5000
0.0000 0.5000 0.0000
0.5000 0.0000 0.0000
0.0000 0.0000 0.5000
```

**ΔE to the lowest computed polymorph**: 0.000 eV per atom
**Total magnetization**: 0.00 μB per formula unit
**Formation energy from raw total energies**: -0.338 eV per atom
**V**: 61.46 Å³/cell

---

A plane-wave DFT calculation with PBE was carried out for a relaxed structure of Tl2FeSe.

```
Tl2FeSe
1.0
0.0000 3.6783 3.6783
3.6783 0.0000 3.6783
3.6783 3.6783 0.0000
Tl Fe Se
2 1 1
direct
0.2500 0.2500 0.2500
0.7500 0.7500 0.7500
0.0000 0.0000 0.0000
0.5000 0.5000 0.5000
```

**ΔE to the lowest computed polymorph**: 0.455 eV per atom
**Total magnetization**: 3.72 μB per formula unit
**Formation energy from raw total energies**: 0.543 eV per atom
**V**: 99.53 Å³/cell

---

A plane-wave DFT calculation with PBE was carried out for a relaxed structure of Sc3RuBr.

```
Sc3RuBr
1.0
5.0677 0.0000 0.0000
0.0000 5.0677 0.0000
0.0000 0.0000 5.0677
Sc Ru Br
3 1 1
direct
0.0000 0.0000 0.5000
0.0000 0.5000 0.0000
0.5000 0.0000 0.0000
0.0000 0.0000 0.0000
0.5000 0.5000 0.5000
```

**ΔE to the lowest computed polymorph**: 0.000 eV per atom
**Total magnetization**: 0.00 μB per formula unit
**Formation energy from raw total energies**: -0.181 eV per atom
**V**: 130.15 Å³/cell

---

A plane-wave DFT calculation with PBE was carried out for a relaxed structure of Gd2MnPd.

```
Gd2MnPd
1.0
3.5998 0.0000 0.0000
0.0000 3.5998 0.0000
0.0000 0.0000 6.9957
Gd Mn Pd
2 1 1
direct
0.0000 0.0000 0.2456
0.0000 0.0000 0.7544
0.5000 0.5000 0.5000
0.5000 0.5000 0.0000
```

**ΔE to the lowest computed polymorph**: 0.000 eV per atom
**Total magnetization**: 17.54 μB per formula unit
**Energy relative to the elements**: -0.26 eV/atom
**V**: 90.66 Å³/cell

---

A plane-wave DFT calculation with PBE was carried out for a relaxed structure of LiTc3.

```
LiTc3
1.0
4.7817 0.0000 0.0000
0.0000 4.7817 0.0000
0.0000 0.0000 4.7817
Li Tc
2 6
direct
0.0000 0.0000 0.0000
0.5000 0.5000 0.5000
0.0000 0.2500 0.5000
0.0000 0.7500 0.5000
0.2500 0.5000 0.0000
0.5000 0.0000 0.2500
0.5000 0.0000 0.7500
0.7500 0.5000 0.0000
```

**ΔE to the lowest computed polymorph**: 0.000 eV per atom
**Total magnetization**: 0.00 μB per formula unit
**Energy relative to the elements**: 0.15 eV/atom
**V**: 109.33 Å³/cell

---

A plane-wave DFT calculation with PBE was carried out for a relaxed structure of PrThTl6.

```
PrThTl6
1.0
4.8317 0.0000 0.0000
0.0000 4.8317 0.0000
0.0000 0.0000 9.6634
Pr Th Tl
1 1 6
direct
0.0000 0.0000 0.0000
0.0000 0.0000 0.5000
0.0000 0.5000 0.2496
0.0000 0.5000 0.7504
0.5000 0.0000 0.2496
0.5000 0.0000 0.7504
0.5000 0.5000 0.0000
0.5000 0.5000 0.5000
```

**Total magnetization**: 0.00 μB per formula unit
**Energy relative to the elements**: -0.24 eV/atom
**V**: 225.60 Å³/cell

---

A plane-wave DFT calculation with PBE was carried out for a relaxed structure of SrCdPt2.

```
SrCdPt2
1.0
5.4769 -1.5685 0.0000
5.4769 1.5685 0.0000
-1.4876 0.0000 4.8780
Sr Cd Pt
1 1 2
direct
0.0000 0.0000 0.0000
0.7974 0.7974 0.3580
0.2404 0.2404 0.8231
0.5365 0.5365 0.5171
```

**Total magnetization**: 0.00 μB per formula unit
**Energy relative to the elements**: -0.39 eV/atom
**V**: 83.81 Å³/cell

---

A plane-wave DFT calculation with PBE was carried out for a relaxed structure of Li2BrO.

```
Li2BrO
1.0
-2.6279 2.6279 4.8853
2.6279 -2.6279 4.8853
2.6279 2.6279 -4.8853
Li Br O
4 2 2
direct
0.3750 0.2482 0.3732
0.7518 0.1250 0.1268
0.8750 0.0018 0.6268
0.9982 0.6250 0.8732
0.2500 0.7500 0.5000
0.5000 0.5000 0.0000
0.0000 0.0000 0.0000
0.7500 0.2500 0.5000
```

**ΔE to the lowest computed polymorph**: 0.060 eV per atom
**Total magnetization**: 1.00 μB per formula unit
**Formation energy from raw total energies**: -1.163 eV per atom
**V**: 134.95 Å³/cell

---

A plane-wave DFT calculation with PBE was carried out for a relaxed structure of Pm2SnSb3Ir4.

```
Pm2SnSb3Ir4
1.0
4.4073 0.0000 0.0000
0.0000 4.4073 0.0000
0.0000 0.0000 11.1027
Pm Sn Sb Ir
2 1 3 4
direct
0.0000 0.5000 0.2403
0.5000 0.0000 0.7597
0.0000 0.0000 0.5000
0.0000 0.5000 0.8639
0.5000 0.0000 0.1361
0.5000 0.5000 0.5000
0.0000 0.0000 0.0000
0.0000 0.5000 0.6335
0.5000 0.0000 0.3665
0.5000 0.5000 0.0000
```

**Total magnetization**: 0.00 μB per formula unit
**Formation energy from raw total energies**: -0.587 eV per atom
**V**: 215.66 Å³/cell

---

A plane-wave DFT calculation with PBE was carried out for a relaxed structure of Tm5HgS4.

```
Tm5HgS4
1.0
6.5779 -1.9234 0.0000
6.5779 1.9234 0.0000
-4.9437 0.0000 8.4903
Tm Hg S
5 1 4
direct
0.0000 0.0000 0.0000
0.2026 0.2026 0.8106
0.3893 0.3893 0.6081
0.6107 0.6107 0.3919
0.7974 0.7974 0.1894
0.0000 0.0000 0.5000
0.2009 0.2009 0.2892
0.4012 0.4012 0.0960
0.5988 0.5988 0.9040
0.7991 0.7991 0.7108
```

**Total magnetization**: 0.00 μB per formula unit
**Formation energy from raw total energies**: -1.596 eV per atom
**V**: 214.83 Å³/cell

---

A plane-wave DFT calculation with PBE was carried out for a relaxed structure of PaNi6Pd.

```
PaNi6Pd
1.0
4.7424 0.0000 0.0000
0.0000 4.7424 0.0000
0.0000 0.0000 4.7424
Pa Ni Pd
1 6 1
direct
0.0000 0.0000 0.0000
0.0000 0.2555 0.5000
0.0000 0.7445 0.5000
0.2555 0.5000 0.0000
0.5000 0.0000 0.2555
0.5000 0.0000 0.7445
0.7445 0.5000 0.0000
0.5000 0.5000 0.5000
```

**Total magnetization**: 0.00 μB per formula unit
**Energy relative to the elements**: -0.12 eV/atom
**V**: 106.66 Å³/cell

---

A plane-wave DFT calculation with PBE was carried out for a relaxed structure of BaCrRh2.

```
BaCrRh2
1.0
2.1508 1.2417 5.7492
-2.1508 1.2417 5.7492
0.0000 -2.4835 5.7492
Ba Cr Rh
1 1 2
direct
0.0000 0.0000 0.0000
0.5000 0.5000 0.5000
0.1987 0.1987 0.1987
0.8013 0.8013 0.8013
```

**ΔE to the lowest computed polymorph**: 0.000 eV per atom
**Total magnetization**: 2.78 μB per formula unit
**Energy relative to the elements**: 0.09 eV/atom
**V**: 92.14 Å³/cell

---

A plane-wave DFT calculation with PBE was carried out for a relaxed structure of CdGeBiH.

```
CdGeBiH
1.0
4.5566 0.0000 0.0000
0.0000 4.5720 0.0000
-1.9117 0.0000 4.5140
Cd Ge Bi H
1 1 1 1
direct
0.0000 0.0000 0.0000
0.7289 0.0000 0.4127
0.3689 0.5000 0.4911
0.1093 0.5000 0.0729
```

**ΔE to the lowest computed polymorph**: 0.114 eV per atom
**Total magnetization**: 0.00 μB per formula unit
**V**: 94.04 Å³/cell

---

A plane-wave DFT calculation with PBE was carried out for a relaxed structure of Zr2InSb.

```
Zr2InSb
1.0
-2.2985 2.2985 4.2599
2.2985 -2.2985 4.2599
2.2985 2.2985 -4.2599
Zr In Sb
2 1 1
direct
0.2500 0.7500 0.5000
0.7500 0.2500 0.5000
0.0000 0.0000 0.0000
0.5000 0.5000 0.0000
```

**ΔE to the lowest computed polymorph**: 0.026 eV per atom
**Total magnetization**: 0.00 μB per formula unit
**Formation energy from raw total energies**: -0.360 eV per atom
**V**: 90.02 Å³/cell

---

A plane-wave DFT calculation with PBE was carried out for a relaxed structure of Ac2Zn4Pd5.

```
Ac2Zn4Pd5
1.0
0.0000 4.8441 7.8691
2.9104 0.0000 7.8691
2.9104 4.8441 0.0000
Ac Zn Pd
2 4 5
direct
0.1326 0.1326 0.8674
0.8674 0.8674 0.1326
0.2142 0.5281 0.4719
0.4719 0.7858 0.2142
0.5281 0.2142 0.7858
0.7858 0.4719 0.5281
0.0000 0.0000 0.5000
0.2500 0.2500 0.2500
0.5000 0.5000 0.0000
0.5000 0.5000 0.5000
0.7500 0.7500 0.7500
```

**ΔE to the lowest computed polymorph**: 0.000 eV per atom
**Total magnetization**: 0.00 μB per formula unit
**Energy relative to the elements**: -0.66 eV/atom
**V**: 221.88 Å³/cell

---

A plane-wave DFT calculation with PBE was carried out for a relaxed structure of CePaGa4.

```
CePaGa4
1.0
-2.0920 2.0920 7.3507
2.0920 -2.0920 7.3507
2.0920 2.0920 -7.3507
Ce Pa Ga
1 1 4
direct
0.0000 0.0000 0.0000
0.2500 0.7500 0.5000
0.4159 0.4159 0.0000
0.5841 0.5841 0.0000
0.6681 0.1681 0.5000
0.8319 0.3319 0.5000
```

**ΔE to the lowest computed polymorph**: 0.000 eV per atom
**Total magnetization**: 1.18 μB per formula unit
**Energy relative to the elements**: -0.45 eV/atom
**V**: 128.68 Å³/cell

---

A plane-wave DFT calculation with PBE was carried out for a relaxed structure of CaGeH.

```
CaGeH
1.0
2.0912 -6.2052 0.0000
2.0912 6.2052 0.0000
0.0000 0.0000 3.9907
Ca Ge H
2 2 2
direct
0.1609 0.8391 0.7500
0.8391 0.1609 0.2500
0.4430 0.5570 0.7500
0.5570 0.4430 0.2500
0.2523 0.7477 0.2500
0.7477 0.2523 0.7500
```

**ΔE to the lowest computed polymorph**: 0.002 eV per atom
**Total magnetization**: 0.00 μB per formula unit
**V**: 103.57 Å³/cell

---

A plane-wave DFT calculation with PBE was carried out for a relaxed structure of TaMn2I4.

```
TaMn2I4
1.0
-2.9278 2.9278 6.7241
2.9278 -2.9278 6.7241
2.9278 2.9278 -6.7241
Ta Mn I
1 2 4
direct
0.0000 0.0000 0.0000
0.4060 0.4060 0.0000
0.5940 0.5940 0.0000
0.0000 0.5000 0.5000
0.2094 0.2094 0.0000
0.5000 0.0000 0.5000
0.7906 0.7906 0.0000
```

**Total magnetization**: 6.06 μB per formula unit
**Formation energy from raw total energies**: 0.463 eV per atom
**V**: 230.56 Å³/cell